Here is a relaxed KFeO2F crystal from the Alexandria database. Energies are from PBE+U. Values from VASP.

Quantum ESPRESSO input file:
```
&SYSTEM
  ibrav = 0, nat = 5, ntyp = 4
/
ATOMIC_SPECIES
K 39.10 K.upf
Fe 55.84 Fe.upf
O 16.00 O.upf
F 19.00 F.upf
CELL_PARAMETERS angstrom
4.278 0.000 0.000
0.000 4.278 0.000
0.000 0.000 4.547
ATOMIC_POSITIONS angstrom
K 0.000 0.000 0.000
Fe 2.139 2.139 2.274
O 0.000 2.139 0.000
O 2.139 0.000 0.000
F 0.000 0.000 2.274
```

Crystal system   tetragonal
Space group   P4/mmm, No. 123
Density   2.91 g cm⁻³
VASP energy   -3.433 eV/atom